## CsCeCo2F8 (PBE+U)

Data for a geometry-optimized CsCeCo2F8 structure.

Summary:
The value obtained for the density of states at the Fermi level is 8.3 states/eV/f.u. The total energy comes out at -195.4 eV/cell.

Cell lengths 5.6941, 5.6941, 24.5192 Å; angles 90.00, 90.00, 120.00 degrees
Space group R-3 (No. 148, hexagonal axes)
One atom of each set of equivalent atoms:
Cs 0.0000 0.0000 0.0000 x3
Ce 0.0000 0.0000 0.5000 x3
Co 0.0000 0.0000 0.2534 x6
F 0.0000 0.0000 0.3293 x6
F 0.0106 0.3581 0.8881 x18